Entry 1:
# TaIrPd2 (PBE-GGA, relaxed)
# Energy above the lowest structure with this stoichiometry = 687 meV/atom
# Raw total energy = -30.2 eV per formula unit
# DFT formation energy = 0.219 eV/atom
data_TaIrPd2
_cell_length_a 7.2016
_cell_length_b 7.2016
_cell_length_c 5.2819
_cell_angle_alpha 90.00
_cell_angle_beta 90.00
_cell_angle_gamma 90.00
_symmetry_space_group_name_H-M 'I -4 2 d'
_symmetry_Int_Tables_number 122
_symmetry_space_group_name_Hall 'I -4 2bw'
loop_
_atom_site_label
_atom_site_fract_x
_atom_site_fract_y
_atom_site_fract_z
_atom_site_occupancy
Ta1 0.0000 0.0000 0.0000 1
Ir1 0.0000 0.0000 0.5000 1
Pd1 0.2362 0.2500 0.1250 1

=====

Entry 2:
# Tc5C (PBE-GGA, relaxed)
# Energy above the lowest structure with this stoichiometry = 297 meV/atom
# Raw total energy = -58.6 eV per formula unit
# DFT formation energy = 0.409 eV/atom
data_Tc5C
_cell_length_a 4.1341
_cell_length_b 4.1329
_cell_length_c 10.0824
_cell_angle_alpha 90.00
_cell_angle_beta 90.00
_cell_angle_gamma 90.00
_symmetry_space_group_name_H-M 'A m m 2'
_symmetry_Int_Tables_number 38
loop_
_symmetry_equiv_pos_as_xyz
'x,y,z'
'-x,-y,z'
'-x,y,z'
'x,-y,z'
'x,y+1/2,z+1/2'
'-x,-y+1/2,z+1/2'
'-x,y+1/2,z+1/2'
'x,-y+1/2,z+1/2'
loop_
_atom_site_label
_atom_site_fract_x
_atom_site_fract_y
_atom_site_fract_z
_atom_site_occupancy
Tc1 0.0000 0.0000 0.0000 1
Tc2 0.0000 0.0000 0.3065 1
Tc3 0.0000 0.0000 0.6676 1
Tc4 0.5000 0.0000 0.4831 1
Tc5 0.5000 0.0000 0.8068 1
C1 0.5000 0.0000 0.0106 1